# 1
DFT (GGA-PBE) results for a geometry-optimized Sr2ZrPtN6 structure.

The structure in extended XYZ format:
```
10
Lattice="5.041 -2.907 0.000 5.041 2.907 0.000 -3.367 0.000 4.761" Properties=species:S:1:pos:R:3 pbc="T T T"
Pt 0.000 0.000 0.000
N 4.226 1.498 1.156
N 2.488 1.498 3.605
N 4.226 -1.498 1.156
N 2.488 -1.498 3.605
N 1.630 0.000 1.148
N 5.084 0.000 3.613
Zr 3.357 0.000 2.381
Sr -0.004 0.000 3.578
Sr 6.719 0.000 1.184
```


# 2
DFT (GGA-PBE) results for a geometry-optimized Fe6SiGe structure.

The structure in extended XYZ format:
```
8
Lattice="4.000 0.000 0.000 0.000 4.000 0.000 0.000 0.000 5.659" Properties=species:S:1:pos:R:3 pbc="T T T"
Ge 0.000 0.000 0.000
Fe 0.000 2.000 1.446
Fe 0.000 0.000 2.830
Fe 0.000 2.000 4.213
Fe 2.000 2.000 0.000
Fe 2.000 0.000 1.446
Fe 2.000 0.000 4.213
Si 2.000 2.000 2.830
```


# 3
DFT (GGA-PBE) results for a geometry-optimized Ga2TcOs structure.

The structure in extended XYZ format:
```
4
Lattice="2.186 1.262 3.570 -2.186 1.262 3.570 0.000 -2.524 3.570" Properties=species:S:1:pos:R:3 pbc="T T T"
Tc 0.000 0.000 0.000
Ga 0.000 0.000 5.355
Ga 0.000 0.000 8.033
Os 0.000 0.000 2.678
```


# 4
DFT (GGA-PBE) results for a geometry-optimized HfReS4 structure.

The structure in extended XYZ format:
```
12
Lattice="6.609 0.000 0.000 -0.133 6.724 0.000 -1.771 -3.389 5.588" Properties=species:S:1:pos:R:3 pbc="T T T"
S 1.154 5.059 1.303
S 0.147 3.311 4.158
S 3.478 1.746 4.285
S 3.552 -1.724 4.285
S 0.450 -0.046 4.383
S 1.228 1.590 1.303
S 4.558 0.025 1.430
S 4.256 3.381 1.205
Re 3.199 5.333 0.001
Re 1.506 -1.997 5.587
Hf 2.302 3.350 2.774
Hf 2.404 -0.015 2.813
```


# 5
DFT (GGA-PBE) results for a geometry-optimized DyFeIr structure.

Its formation enthalpy at 0 K is 65.3 kJ per mole of atoms.

The structure in extended XYZ format:
```
3
Lattice="0.000 3.162 3.162 3.162 0.000 3.162 3.162 3.162 0.000" Properties=species:S:1:pos:R:3 pbc="T T T"
Ir 4.743 4.743 4.743
Dy 0.000 0.000 0.000
Fe 1.581 1.581 1.581
```


# 6
DFT (GGA-PBE) results for a geometry-optimized Hf4Ta2Sb3N3 structure.

The structure in extended XYZ format:
```
24
Lattice="5.906 0.000 0.000 -2.953 5.121 0.000 0.000 -3.403 13.065" Properties=species:S:1:pos:R:3 pbc="T T T"
Hf 2.428 0.866 11.932
Hf 0.473 0.879 5.396
Hf 0.525 0.852 1.133
Hf 2.481 0.839 7.669
Hf 3.426 2.540 1.136
Hf -0.473 -0.822 11.929
Hf 3.479 2.567 5.400
Hf -0.526 -0.850 7.665
Ta 2.479 -2.595 12.036
Ta 3.427 -0.894 5.504
Ta 0.474 4.313 1.029
Ta -0.474 2.612 7.561
N -1.477 0.859 6.533
N 1.533 2.525 6.532
N 4.486 0.895 0.000
N -1.533 4.226 0.000
N 1.421 -0.807 6.533
N 1.477 2.560 0.000
Sb 3.406 -0.904 9.806
Sb 0.453 0.920 9.791
Sb 0.551 -2.552 9.799
Sb 2.500 0.798 3.274
Sb 5.355 -0.851 3.266
Sb -0.453 2.621 3.259
```


no.,DFT total energy (eV per cell)
1,-66.79
2,-61.66
3,-26.67
4,-88.64
5,-19.74
6,-220.88